(1)
Computed, not measured: a relaxed LiGe2Br crystal at the GGA-PBEsol level of DFT.

Output
formation energy (no corrections)	0.34	eV/atom
total moment	0.000	μB per cell
Fermi-level density of states	0.60	states/eV/atom
calculated density	4.8	g cm⁻³
uncorrected energy	-3.088	eV per atom

Cell lengths 4.846, 4.846, 4.846 Å; angles 60.00, 60.00, 60.00 degrees
Atoms (fractional coordinates):
Li (0.000, 0.000, 0.000)
Ge (0.250, 0.250, 0.250)
Ge (0.750, 0.750, 0.750)
Br (0.500, 0.500, 0.500)

=====

(2)
Computed, not measured: a relaxed LiGe3Br crystal at the GGA-PBEsol level of DFT.

Output
formation energy (no corrections)	0.45	eV/atom
total moment	0.000	μB per cell
Fermi-level density of states	0.65	states/eV/atom
calculated density	4.9	g cm⁻³
uncorrected energy	-3.279	eV per atom

Cell lengths 4.676, 4.676, 4.676 Å; angles 90.00, 90.00, 90.00 degrees
Atoms (fractional coordinates):
Li (0.000, 0.000, 0.000)
Ge (0.000, 0.000, 0.500)
Ge (0.000, 0.500, 0.000)
Ge (0.500, 0.000, 0.000)
Br (0.500, 0.500, 0.500)

=====

(3)
Computed, not measured: a relaxed LiGeBrN2 crystal at the GGA-PBEsol level of DFT.

Output
formation energy (no corrections)	1.79	eV/atom
total moment	0.003	μB per cell
Fermi-level density of states	0.50	states/eV/atom
calculated density	3.8	g cm⁻³
uncorrected energy	-3.371	eV per atom

Cell lengths 4.081, 4.081, 4.924 Å; angles 90.00, 90.00, 90.00 degrees
Atoms (fractional coordinates):
Li (0.000, 0.000, 0.000)
Ge (0.500, 0.500, 0.000)
Br (0.500, 0.500, 0.500)
N (0.000, 0.500, 0.500)
N (0.500, 0.000, 0.500)